[1]
KTe2As at its PBEsol-relaxed geometry. Source: Alexandria, functional meta-GGA SCAN.

Geometry as POSCAR:
```
KTe2As
1.0
-3.695 0.207 -1.613
0.427 -5.144 -1.639
-0.853 -0.402 6.953
As Te K
1 2 1
Direct
0.471 0.762 0.941
0.012 0.117 0.025
0.276 0.572 0.552
0.741 0.049 0.482
```

Calculated volume   35.4 A^3/atom
Symmetry   Cm
ΔE_f (raw)   -1.7 eV/f.u.


[2]
KTe2As at its PBEsol-relaxed geometry. Source: Alexandria, functional meta-GGA SCAN.

Geometry as POSCAR:
```
KTe2As
1.0
3.909 0.000 0.000
0.000 5.517 0.000
-1.955 -2.759 5.250
As K Te
1 1 2
Direct
0.459 0.459 0.918
0.239 0.739 0.478
0.028 0.028 0.057
0.773 0.273 0.547
```

Calculated volume   28.3 A^3/atom
Symmetry   Imm2
ΔE_f (raw)   -0.9 eV/f.u.


[3]
KTe2As at its PBEsol-relaxed geometry. Source: Alexandria, functional meta-GGA SCAN.

Geometry as POSCAR:
```
KTe2As
1.0
-2.291 -1.646 -1.687
-0.230 -2.812 3.057
-6.136 4.657 3.823
As K Te
1 1 2
Direct
0.500 0.500 0.000
0.000 0.500 0.500
0.501 0.000 0.771
0.499 0.000 0.229
```

Calculated volume   29.4 A^3/atom
Symmetry   P2/m
ΔE_f (raw)   -1.3 eV/f.u.


[4]
KTe2As at its PBEsol-relaxed geometry. Source: Alexandria, functional meta-GGA SCAN.

Geometry as POSCAR:
```
KTe2As
1.0
4.477 0.000 0.000
0.000 4.477 0.000
-2.238 -2.238 5.313
As K Te
1 1 2
Direct
0.500 0.500 0.000
0.250 0.750 0.500
0.000 0.000 0.000
0.750 0.250 0.500
```

Calculated volume   26.6 A^3/atom
Symmetry   I-4m2
ΔE_f (raw)   0.0 eV/f.u.


[5]
K2YTeAs at its PBEsol-relaxed geometry. Source: Alexandria, functional meta-GGA SCAN.

Geometry as POSCAR:
```
K2YTeAs
1.0
-5.173 1.843 -1.311
-1.224 -5.198 -2.477
-2.016 -1.985 5.162
Y As Te K
1 1 1 2
Direct
0.500 0.500 0.500
0.000 0.000 0.000
0.500 0.000 0.000
0.000 0.000 0.500
0.000 0.500 0.000
```

Calculated volume   39.1 A^3/atom
Symmetry   P4/mmm
ΔE_f (raw)   1.4 eV/f.u.


[6]
KTi2As2 at its PBEsol-relaxed geometry. Source: Alexandria, functional meta-GGA SCAN.

Geometry as POSCAR:
```
KTi2As2
1.0
4.226 0.000 0.000
0.000 4.226 0.000
-2.113 -2.113 6.645
As K Ti
2 1 2
Direct
0.353 0.353 0.707
0.647 0.647 0.293
0.000 0.000 0.000
0.250 0.750 0.500
0.750 0.250 0.500
```

DFT formation energy   -3.90 eV/f.u.
Calculated volume   23.7 A^3/atom
Symmetry   I4/mmm


[7]
KTi2As at its PBEsol-relaxed geometry. Source: Alexandria, functional meta-GGA SCAN.

Geometry as POSCAR:
```
KTi2As
1.0
4.699 0.000 0.000
0.000 4.699 0.000
-2.349 -2.349 9.271
As K Ti
2 2 4
Direct
0.250 0.750 0.500
0.000 0.000 0.000
0.750 0.250 0.500
0.500 0.500 0.000
0.137 0.875 0.250
0.113 0.375 0.250
0.125 0.887 0.750
0.625 0.863 0.750
```

DFT formation energy   1.52 eV/f.u.
Calculated volume   25.6 A^3/atom
Symmetry   I-42d


[8]
K2TlAs at its PBEsol-relaxed geometry. Source: Alexandria, functional meta-GGA SCAN.

Geometry as POSCAR:
```
K2TlAs
1.0
-2.015 3.377 1.787
-4.269 -1.161 -2.619
0.219 -3.072 6.051
As K Tl
1 2 1
Direct
0.500 0.555 0.109
0.000 0.986 0.971
0.500 0.283 0.566
0.000 0.691 0.382
```

DFT formation energy   -1.64 eV/f.u.
Calculated volume   34.9 A^3/atom
ΔE to the lowest computed polymorph   0.000 eV/f.u.
Symmetry   Amm2


[9]
KTl2As at its PBEsol-relaxed geometry. Source: Alexandria, functional meta-GGA SCAN.

Geometry as POSCAR:
```
KTl2As
1.0
-1.331 1.296 4.040
-4.245 1.129 0.686
-3.471 -6.320 3.330
As K Tl
1 1 2
Direct
0.500 0.500 0.500
0.000 0.000 0.000
0.228 0.228 0.316
0.772 0.772 0.684
```

DFT formation energy   -0.82 eV/f.u.
Calculated volume   32.2 A^3/atom
ΔE to the lowest computed polymorph   0.108 eV/f.u.
Symmetry   R-3m


[10]
KTl2As at its PBEsol-relaxed geometry. Source: Alexandria, functional meta-GGA SCAN.

Geometry as POSCAR:
```
KTl2As
1.0
-0.598 -3.092 0.385
5.404 -0.659 3.102
-5.183 1.404 3.228
As K Tl
1 1 2
Direct
0.500 0.000 0.000
0.500 0.500 0.500
0.000 0.500 0.000
0.000 0.000 0.500
```

DFT formation energy   0.10 eV/f.u.
Calculated volume   27.3 A^3/atom
ΔE to the lowest computed polymorph   1.020 eV/f.u.
Symmetry   Cmmm


[11]
KTlAs at its PBEsol-relaxed geometry. Source: Alexandria, functional meta-GGA SCAN.

Geometry as POSCAR:
```
KTlAs
1.0
-3.910 -2.811 1.628
-0.509 -1.020 4.954
-3.748 2.162 2.669
As K Tl
1 1 1
Direct
0.000 0.000 0.000
0.500 0.500 0.500
0.250 0.250 0.250
```

DFT formation energy   -0.26 eV/f.u.
Calculated volume   31.0 A^3/atom
ΔE to the lowest computed polymorph   0.223 eV/f.u.
Symmetry   F-43m


[12]
K2TlAs2 at its PBEsol-relaxed geometry. Source: Alexandria, functional meta-GGA SCAN.

Geometry as POSCAR:
```
K2TlAs2
1.0
-1.401 -2.105 4.574
-1.094 -6.633 -3.388
7.170 -1.866 1.337
K Tl As
4 2 4
Direct
0.500 0.175 0.675
0.500 0.675 0.825
0.500 0.825 0.325
0.500 0.325 0.175
0.000 0.000 0.000
0.000 0.500 0.500
0.000 0.386 0.886
0.000 0.886 0.614
0.000 0.614 0.114
0.000 0.114 0.386
```

DFT formation energy   -1.88 eV/f.u.
Calculated volume   29.6 A^3/atom
Symmetry   P4/mbm